# 1
The following is a DFT calculation (PBE-GGA) of an optimized crystal structure of Tb3YHo4Se8.

energy relative to the elements, uncorrected	-1.7416	eV/atom
M_tot	0.000	μB per atom

a b c (Å): 8.1453 8.1453 19.9889
angles (deg): 90.00 90.00 120.00
Space group R-3m (No. 166, hexagonal axes)
One atom of each set of equivalent atoms:
Tb  0.0000  0.5000  0.0000 [9 per cell]
Y  0.0000  0.0000  0.0000 [3 per cell]
Ho  0.0000  0.0000  0.5000 [3 per cell]
Ho  0.0000  0.5000  0.5000 [9 per cell]
Se  0.0000  0.0000  0.2486 [6 per cell]
Se  0.9996  0.4998  0.2487 [18 per cell]

***

# 2
The following is a DFT calculation (PBE-GGA) of an optimized crystal structure of Tb2YHoSe5.

energy relative to the elements, uncorrected	-1.1467	eV/atom
M_tot	0.007	μB per atom

a b c (Å): 5.128 5.128 10.709
angles (deg): 90.00 90.00 90.00
Space group P4/mmm (No. 123)
One atom of each set of equivalent atoms:
Tb  0.000  0.000  0.162 [2 per cell]
Y  0.500  0.500  0.500 [1 per cell]
Ho  0.500  0.500  0.000 [1 per cell]
Se  0.000  0.000  0.500 [1 per cell]
Se  0.000  0.500  0.000 [2 per cell]
Se  0.500  0.500  0.254 [2 per cell]

***

# 3
The following is a DFT calculation (PBE-GGA) of an optimized crystal structure of Tb3YHo3Se8.

energy relative to the elements, uncorrected	-1.8352	eV/atom
M_tot	0.000	μB per atom

a b c (Å): 8.1220 8.1220 19.9112
angles (deg): 90.00 90.00 120.00
Space group R-3m (No. 166, hexagonal axes)
One atom of each set of equivalent atoms:
Tb  0.0000  0.5000  0.0000 [9 per cell]
Y  0.0000  0.0000  0.5000 [3 per cell]
Ho  0.0000  0.5000  0.5000 [9 per cell]
Se  0.0000  0.0000  0.2489 [6 per cell]
Se  0.0069  0.5034  0.7496 [18 per cell]

***

# 4
The following is a DFT calculation (PBE-GGA) of an optimized crystal structure of TbY2HoSe6.

energy relative to the elements, uncorrected	-1.8590	eV/atom
M_tot	0.000	μB per atom

a b c (Å): 7.2083 7.2083 19.4624
angles (deg): 90.00 90.00 120.00
Space group R3 (No. 146, hexagonal axes)
One atom of each set of equivalent atoms:
Tb  0.0000  0.0000  0.0000 [3 per cell]
Y  0.0000  0.0000  0.3035 [3 per cell]
Y  0.0000  0.0000  0.8039 [3 per cell]
Ho  0.0000  0.0000  0.4993 [3 per cell]
Se  0.0004  0.3040  0.4021 [9 per cell]
Se  0.0283  0.6688  0.5683 [9 per cell]

***

# 5
The following is a DFT calculation (PBE-GGA) of an optimized crystal structure of Tb2Y3HoSe6.

energy relative to the elements, uncorrected	-1.7623	eV/atom
M_tot	0.000	μB per atom

a b c (Å): 7.043 12.279 7.085
angles (deg): 90.00 109.46 90.00
Space group C2/m (No. 12)
One atom of each set of equivalent atoms:
Tb  0.000  0.167  0.000 [4 per cell]
Y  0.000  0.000  0.500 [2 per cell]
Y  0.000  0.331  0.500 [4 per cell]
Ho  0.000  0.500  0.000 [2 per cell]
Se  0.247  0.500  0.749 [4 per cell]
Se  0.248  0.335  0.249 [8 per cell]

***

# 6
The following is a DFT calculation (PBE-GGA) of an optimized crystal structure of Tb4YHo3Se8.

energy relative to the elements, uncorrected	-1.7484	eV/atom
M_tot	0.000	μB per atom

a b c (Å): 8.1517 8.1517 20.0290
angles (deg): 90.00 90.00 120.00
Space group R-3m (No. 166, hexagonal axes)
One atom of each set of equivalent atoms:
Tb  0.0000  0.0000  0.0000 [3 per cell]
Tb  0.0000  0.5000  0.0000 [9 per cell]
Y  0.0000  0.0000  0.5000 [3 per cell]
Ho  0.0000  0.5000  0.5000 [9 per cell]
Se  0.0000  0.0000  0.2486 [6 per cell]
Se  0.0013  0.5006  0.7511 [18 per cell]

***

Let's list final energy in order: -283.22 -48.04 -268.48 -184.90 -150.57 -283.71 eV per cell.